SmOsNO | PBE | relaxed

Size of the total moment   0.22 μB per cell
Final energy   -7.780 eV per atom
ρ   11.3 g/cm³

```
8
Lattice="5.0138 0.0000 0.0000 0.0000 5.0138 0.0000 0.0000 0.0000 4.3140" Properties=species:S:1:pos:R:3 pbc="T T T"
Sm 1.2534 3.7603 0.0000
Sm 3.7603 1.2534 0.0000
Os 1.2534 1.2534 2.1575
Os 3.7603 3.7603 2.1565
N 1.2534 1.2534 0.0033
N 3.7603 3.7603 4.3107
O 1.2534 3.7603 2.1570
O 3.7603 1.2534 2.1570
```